# ZrMn2SnIr, optimized geometry, DFT PBE
# Energy relative to the elements in eV per formula unit: 5.1
# Total moment in μB per cell: 0.0
data_ZrMn2SnIr
_cell_length_a 4.4896
_cell_length_b 4.9387
_cell_length_c 4.4896
_cell_angle_alpha 90.00
_cell_angle_beta 90.00
_cell_angle_gamma 90.00
_symmetry_space_group_name_H-M 'P 1'
_symmetry_Int_Tables_number 1
_symmetry_space_group_name_Hall 'P 1'
loop_
_atom_site_label
_atom_site_fract_x
_atom_site_fract_y
_atom_site_fract_z
Ir1 0.0000 0.0000 0.0000
Sn1 0.0000 0.5000 0.0000
Mn1 0.5000 0.0000 0.0000
Zr1 0.5000 0.5000 0.5000
Mn2 0.0000 0.0000 0.5000

=====

# TeSeF2, optimized geometry, DFT PBE
# Raw formation energy in eV per atom: -0.766
# Total moment in μB per cell: 0.6
# Energy above the lowest structure with this stoichiometry in meV per atom: 395.7
data_TeSeF2
_cell_length_a 10.1307
_cell_length_b 10.1307
_cell_length_c 10.1307
_cell_angle_alpha 17.83
_cell_angle_beta 17.83
_cell_angle_gamma 17.83
_symmetry_space_group_name_H-M 'P 1'
_symmetry_Int_Tables_number 1
_symmetry_space_group_name_Hall 'P 1'
loop_
_atom_site_label
_atom_site_fract_x
_atom_site_fract_y
_atom_site_fract_z
F1 0.0669 0.0669 0.0669
F2 0.9331 0.9331 0.9331
Te1 0.0000 0.0000 0.0000
Se1 0.5000 0.5000 0.5000

=====

# Zr6CdGa, optimized geometry, DFT PBE
# Energy relative to the elements in eV per formula unit: -1.7
# Total moment in μB per cell: 0.0
data_Zr6CdGa
_cell_length_a 4.4183
_cell_length_b 4.4183
_cell_length_c 8.7949
_cell_angle_alpha 90.00
_cell_angle_beta 90.00
_cell_angle_gamma 90.00
_symmetry_space_group_name_H-M 'P 1'
_symmetry_Int_Tables_number 1
_symmetry_space_group_name_Hall 'P 1'
loop_
_atom_site_label
_atom_site_fract_x
_atom_site_fract_y
_atom_site_fract_z
Zr1 0.0000 0.5000 0.7422
Zr2 0.0000 0.5000 0.2578
Ga1 0.0000 0.0000 0.5000
Zr3 0.5000 0.5000 0.5000
Cd1 0.0000 0.0000 0.0000
Zr4 0.5000 0.0000 0.7422
Zr5 0.5000 0.0000 0.2578
Zr6 0.5000 0.5000 0.0000

=====

Q: Look up the total moment of the second one.
A: 0.6 μB per cell

=====

Q: Among the records above, which one has the highest total moment?
A: TeSeF2